Record 1
The following is a PBE-GGA calculation of crystalline Mo2Pt2Rh at its relaxed geometry, from Alexandria via LeMat-Bulk.

Summary:
- Space group: No. 36
- Energy above the most stable polymorph in this dataset: 0.1166 eV/atom
- M_tot: 0.0000 μB per atom
- Total DFT energy (no corrections): -83.36 eV per cell
- Calculated formation energy: -56 kJ/mol of formula units

Lattice parameters (Å, degrees): 7.7480 7.7480 4.8128 90.00 90.00 146.81
Last column: nearest neighbours and their distance in Å.
Element x y z (fractional)
1 Mo 0.1367 0.8633 0.5000  5 Pt 2.60-2.71, 3 Rh 2.70-2.79, 2 Mo 2.85
2 Mo 0.3572 0.6428 0.3726  7 Pt 2.63-2.92, 2 Rh 2.67, 2 Mo 2.85
3 Mo 0.6428 0.3572 0.8726  7 Pt 2.63-2.92, 2 Rh 2.67, 2 Mo 2.85
4 Mo 0.8633 0.1367 0.0000  5 Pt 2.60-2.71, 3 Rh 2.70-2.79, 2 Mo 2.85
5 Pt 0.2704 0.7296 0.8490  5 Mo 2.60-2.83, 1 Pt 2.76
6 Pt 0.4561 0.5439 0.8514  5 Mo 2.70-2.91, 4 Rh 2.73-2.78, 3 Pt 2.74-2.76
7 Pt 0.5439 0.4561 0.3514  5 Mo 2.70-2.91, 4 Rh 2.73-2.78, 3 Pt 2.74-2.76
8 Pt 0.7296 0.2704 0.3490  5 Mo 2.60-2.83, 1 Pt 2.76
9 Rh 0.0515 0.9485 0.0042  5 Mo 2.67-2.79, 4 Pt 2.73-2.78, 2 Rh 2.85
10 Rh 0.9485 0.0515 0.5042  5 Mo 2.67-2.79, 4 Pt 2.73-2.78, 2 Rh 2.85

---

Record 2
The following is a PBE-GGA calculation of crystalline K2AlAs at its relaxed geometry, from Alexandria via LeMat-Bulk.

Summary:
- Space group: No. 123
- Energy above the most stable polymorph in this dataset: 0.4869 eV/atom
- M_tot: 0.0000 μB per atom
- Total DFT energy (no corrections): -9.70 eV per cell
- Calculated formation energy: 85 kJ/mol of formula units

Lattice parameters (Å, degrees): 5.6602 5.6602 3.8982 90.00 90.00 90.00
Last column: nearest neighbours and their distance in Å.
Element x y z (fractional)
1 K 0.0000 0.5000 0.0000  4 As 3.44, 4 Al 3.44
2 K 0.5000 0.0000 0.0000  4 As 3.44, 4 Al 3.44
3 Al 0.0000 0.0000 0.5000  8 K 3.44
4 As 0.5000 0.5000 0.5000  8 K 3.44

---

Record 3
The following is a PBE-GGA calculation of crystalline AcPtPb2 at its relaxed geometry, from Alexandria via LeMat-Bulk.

Summary:
- Space group: No. 11
- Energy above the most stable polymorph in this dataset: 0.0000 eV/atom
- M_tot: 0.0000 μB per atom
- Total DFT energy (no corrections): -39.81 eV per cell
- Calculated formation energy: -226 kJ/mol of formula units

Lattice parameters (Å, degrees): 4.6305 4.6278 10.7761 90.00 95.93 90.00
Last column: nearest neighbours and their distance in Å.
Element x y z (fractional)
1 Ac 0.1953 0.2500 0.2385  4 Pt 3.31-3.48, 7 Pb 3.37-3.64
2 Ac 0.8047 0.7500 0.7615  4 Pt 3.31-3.48, 7 Pb 3.37-3.64
3 Pt 0.3121 0.2500 0.6774  5 Pb 2.76-3.05
4 Pt 0.6879 0.7500 0.3226  5 Pb 2.76-3.05
5 Pb 0.2450 0.7500 0.5003  4 Pt 2.95-3.05, 2 Pb 3.24
6 Pb 0.2992 0.2500 0.9333  1 Pt 2.76
7 Pb 0.7008 0.7500 0.0667  1 Pt 2.76
8 Pb 0.7550 0.2500 0.4997  4 Pt 2.95-3.05, 2 Pb 3.24